1.
Density functional theory data (PBE) for crystalline DyEr4Pt4 at its relaxed geometry.

Unit cell a=8.9733 b=8.9733 c=5.6783 alpha=90.00 beta=90.00 gamma=90.00
Sites, in units of the cell vectors:
Dy 0.2500 0.2500 0.2500
Dy 0.7500 0.7500 0.7500
Er 0.0776 0.6538 0.1654
Er 0.1538 0.9224 0.6654
Er 0.3462 0.5776 0.6654
Er 0.4224 0.8462 0.1654
Er 0.5776 0.1538 0.8346
Er 0.6538 0.4224 0.3346
Er 0.8462 0.0776 0.3346
Er 0.9224 0.3462 0.8346
Pt 0.0352 0.6264 0.6656
Pt 0.1264 0.9648 0.1656
Pt 0.3736 0.5352 0.1656
Pt 0.4648 0.8736 0.6656
Pt 0.5352 0.1264 0.3344
Pt 0.6264 0.4648 0.8344
Pt 0.8736 0.0352 0.8344
Pt 0.9648 0.3736 0.3344

For the formation energy, the calculation gives -1.076 eV/atom. The volume comes out at 457 Å³/cell.

2.
Density functional theory data (PBE) for crystalline Dy3ErPt2 at its relaxed geometry.

Unit cell a=4.7633 b=8.7959 c=7.1410 alpha=90.00 beta=90.00 gamma=90.00
Sites, in units of the cell vectors:
Dy 0.0000 0.0833 0.0000
Dy 0.0000 0.3322 0.3647
Dy 0.0000 0.6678 0.8647
Dy 0.0000 0.9167 0.5000
Dy 0.5000 0.1693 0.6529
Dy 0.5000 0.8307 0.1529
Er 0.5000 0.4165 0.0178
Er 0.5000 0.5835 0.5178
Pt 0.0000 0.3436 0.7689
Pt 0.0000 0.6564 0.2689
Pt 0.5000 0.1579 0.2492
Pt 0.5000 0.8421 0.7492

For the formation energy, the calculation gives -0.958 eV/atom. The volume comes out at 299 Å³/cell.

3.
Density functional theory data (PBE) for crystalline DyEr6Pt2 at its relaxed geometry.

Unit cell a=8.1576 b=8.1576 c=10.7882 alpha=128.39 beta=128.39 gamma=26.14
Sites, in units of the cell vectors:
Dy 0.0000 0.0000 0.0000
Er 0.0270 0.0270 0.6905
Er 0.2779 0.2779 0.3859
Er 0.3060 0.3060 0.9459
Er 0.6940 0.6940 0.0541
Er 0.7221 0.7221 0.6141
Er 0.9730 0.9730 0.3095
Pt 0.4039 0.4039 0.7304
Pt 0.5961 0.5961 0.2696

For the formation energy, the calculation gives -0.585 eV/atom. The volume comes out at 244 Å³/cell.

4.
Density functional theory data (PBE) for crystalline DyErPt at its relaxed geometry.

Unit cell a=7.1239 b=4.7538 c=8.7503 alpha=90.00 beta=90.00 gamma=90.00
Sites, in units of the cell vectors:
Dy 0.0097 0.2500 0.1683
Dy 0.4903 0.7500 0.6683
Dy 0.5097 0.2500 0.3317
Dy 0.9903 0.7500 0.8317
Er 0.1436 0.2500 0.5801
Er 0.3564 0.7500 0.0801
Er 0.6436 0.2500 0.9199
Er 0.8564 0.7500 0.4199
Pt 0.2433 0.2500 0.9069
Pt 0.2567 0.7500 0.4069
Pt 0.7433 0.2500 0.5931
Pt 0.7567 0.7500 0.0931

As for the distance to the lowest polymorph of the same formula: 0.0 kJ/mol of atoms. For the formation energy, the calculation gives -0.975 eV/atom. The volume comes out at 296 Å³/cell.

5.
Density functional theory data (PBE) for crystalline Dy4Er3Pt4 at its relaxed geometry.

Unit cell a=9.4416 b=9.4416 c=9.4416 alpha=156.88 beta=124.85 gamma=60.59
Sites, in units of the cell vectors:
Dy 0.0218 0.8346 0.1871
Dy 0.3525 0.1654 0.1871
Dy 0.6475 0.8346 0.8129
Dy 0.9782 0.1654 0.8129
Er 0.0000 0.5000 0.5000
Er 0.4019 0.4019 0.0000
Er 0.5981 0.5981 0.0000
Pt 0.2574 0.7574 0.5000
Pt 0.2939 0.0000 0.2939
Pt 0.7061 0.0000 0.7061
Pt 0.7426 0.2426 0.5000

For the formation energy, the calculation gives -0.921 eV/atom. The volume comes out at 270 Å³/cell.

6.
Density functional theory data (PBE) for crystalline DyErPt at its relaxed geometry.

Unit cell a=6.8417 b=6.8417 c=6.8417 alpha=90.00 beta=90.00 gamma=90.00
Sites, in units of the cell vectors:
Dy 0.0000 0.0000 0.0000
Dy 0.0000 0.5000 0.5000
Dy 0.5000 0.0000 0.5000
Dy 0.5000 0.5000 0.0000
Er 0.0000 0.0000 0.5000
Er 0.0000 0.5000 0.0000
Er 0.5000 0.0000 0.0000
Er 0.5000 0.5000 0.5000
Pt 0.2500 0.2500 0.2500
Pt 0.2500 0.7500 0.7500
Pt 0.7500 0.2500 0.7500
Pt 0.7500 0.7500 0.2500

As for the distance to the lowest polymorph of the same formula: 8.1 kJ/mol of atoms. For the formation energy, the calculation gives -0.891 eV/atom. The volume comes out at 320 Å³/cell.

7.
Density functional theory data (PBE) for crystalline Dy2ErPt3 at its relaxed geometry.

Unit cell a=4.0649 b=5.7372 c=12.1443 alpha=90.00 beta=90.00 gamma=90.00
Sites, in units of the cell vectors:
Dy 0.0000 0.0000 0.1672
Dy 0.0000 0.0000 0.8328
Dy 0.5000 0.5000 0.3328
Dy 0.5000 0.5000 0.6672
Er 0.0000 0.0000 0.5000
Er 0.5000 0.5000 0.0000
Pt 0.0000 0.5000 0.1649
Pt 0.0000 0.5000 0.5000
Pt 0.0000 0.5000 0.8351
Pt 0.5000 0.0000 0.0000
Pt 0.5000 0.0000 0.3351
Pt 0.5000 0.0000 0.6649

As for the distance to the lowest polymorph of the same formula: 10.0 kJ/mol of atoms. For the formation energy, the calculation gives -1.135 eV/atom. The volume comes out at 283 Å³/cell.

8.
Density functional theory data (PBE) for crystalline Dy3Er4Pt4 at its relaxed geometry.

Unit cell a=8.9184 b=8.9184 c=8.9184 alpha=151.26 beta=127.10 gamma=61.32
Sites, in units of the cell vectors:
Dy 0.0000 0.0000 0.0000
Dy 0.3978 0.8978 0.5000
Dy 0.6022 0.1022 0.5000
Er 0.0361 0.3300 0.7061
Er 0.3761 0.6700 0.7061
Er 0.6239 0.3300 0.2939
Er 0.9639 0.6700 0.2939
Pt 0.2138 0.2138 0.0000
Pt 0.3175 0.5000 0.8175
Pt 0.6825 0.5000 0.1825
Pt 0.7862 0.7862 0.0000

For the formation energy, the calculation gives -0.918 eV/atom. The volume comes out at 270 Å³/cell.